Material: NbInRh2C
Method: DFT, PBE-GGA
State: optimized geometry

Computed properties:
E_form in meV/atom: 1928.7

abc: 4.9239 4.9239 3.9166
angles: 90.00 90.00 90.00
With the nearest neighbours (Å) after each atom.
Space group P4/mmm (No. 123)
Asymmetric unit:
Nb1 0.0000 0.0000 0.0000  8 Rh 3.15, 4 C 3.48
In1 0.5000 0.5000 0.5000  2 C 1.96
Rh1 0.0000 0.5000 0.5000  2 In 2.46
C1 0.5000 0.5000 0.0000  2 In 1.96